No. 1
Entry from the Alexandria database: an optimized crystal structure of YZnPd (PBEsol).

Lattice parameters (Å, degrees): 3.8205 7.1684 7.1684 120.00 90.00 90.00
Last column: nearest neighbours and their distance in Å.
Sites, in units of the cell vectors:
Y 0.5000 0.0000 0.4045  5 Pd 2.90, 6 Zn 3.13-3.17
Y 0.5000 0.5955 0.5955  5 Pd 2.90, 6 Zn 3.13-3.17
Y 0.5000 0.4045 0.0000  5 Pd 2.90, 6 Zn 3.13-3.17
Zn 0.0000 0.0000 0.7495  4 Pd 2.62-2.74
Zn 0.0000 0.7495 0.0000  4 Pd 2.62-2.74
Zn 0.0000 0.2505 0.2505  4 Pd 2.62-2.74
Pd 0.0000 0.6667 0.3333  3 Zn 2.74, 6 Y 2.90
Pd 0.0000 0.3333 0.6667  3 Zn 2.74, 6 Y 2.90
Pd 0.5000 0.0000 0.0000  6 Zn 2.62, 3 Y 2.90

Calculated values
formation energy = -739 meV/atom
density of states at the Fermi level = 6.23 states/eV/cell
M_tot = 0.0 μB per formula unit
calculated volume = 18.9 A^3/atom
SG = P-62m (189)

No. 2
Entry from the Alexandria database: an optimized crystal structure of LiCo2O4 (PBEsol).

Lattice parameters (Å, degrees): 5.5905 5.5802 5.5802 60.27 59.94 59.94
Last column: nearest neighbours and their distance in Å.
Sites, in units of the cell vectors:
Li 0.5000 0.5000 0.0000  6 O 2.07
Li 0.0000 0.5000 0.0000  6 O 2.07
Co 0.0000 0.0000 0.0000  6 O 1.87
Co 0.0000 0.0000 0.5000  6 O 1.88-1.89
Co 0.0000 0.5000 0.5000  6 O 1.87
Co 0.5000 0.0000 0.5000  6 O 1.88-1.89
O 0.2374 0.2396 0.2856  3 Co 1.87-1.89, 2 Li 2.07
O 0.7626 0.2144 0.2604  3 Co 1.87-1.89, 2 Li 2.07
O 0.2374 0.7856 0.7396  3 Co 1.87-1.89, 2 Li 2.07
O 0.7626 0.7604 0.7144  3 Co 1.87-1.89, 2 Li 2.07
O 0.7675 0.7623 0.2623  3 Co 1.87-1.88, 1 Li 2.07
O 0.7922 0.2377 0.7377  3 Co 1.87-1.88, 1 Li 2.07
O 0.2078 0.7623 0.2623  3 Co 1.87-1.88, 1 Li 2.07
O 0.2325 0.2377 0.7377  3 Co 1.87-1.88, 1 Li 2.07

Calculated values
density of states at the Fermi level = 10.76 states/eV/cell
M_tot = 1.1 μB per formula unit
energy relative to the elements, uncorrected = -1284 meV per atom
calculated volume = 8.8 A^3/atom
relative energy among the computed polymorphs = 67 meV per atom
SG = Imma (74)